Entry 1:
DFT (PBE) results for a relaxed structure of NiAs4Pt.

Cell: 5.935 5.940 5.944 Å, 90.00 90.01 90.00°
Space group P2_1/c (No. 14)
Asymmetric unit:
Ni1 0.000 0.000 0.000 [2 per cell]
As1 0.111 0.126 0.376 [4 per cell]
As2 0.371 0.613 0.386 [4 per cell]
Pt1 0.500 0.000 0.500 [2 per cell]

Summary:
energy relative to the elements = -0.378 eV per atom
energy above the most stable polymorph in this dataset = 0 meV per atom
total magnetization = 0.00 μB per cell
calculated volume = 17.5 Å³ per atom

=====

Entry 2:
DFT (PBE) results for a relaxed structure of NiAsPt2.

Cell: 6.220 6.220 6.220 Å, 90.00 90.00 90.00°
Space group F-43m (No. 216)
Asymmetric unit:
Ni1 0.000 0.000 0.000 [4 per cell]
As1 0.250 0.250 0.750 [4 per cell]
Pt1 0.000 0.000 0.500 [4 per cell]
Pt2 0.250 0.250 0.250 [4 per cell]

Summary:
energy relative to the elements = 0.014 eV per atom
total magnetization = 0.00 μB per cell
calculated volume = 15.0 Å³ per atom

=====

Entry 3:
DFT (PBE) results for a relaxed structure of Ni7As2Pt.

Cell: 3.667 3.667 19.382 Å, 90.00 90.00 90.00°
Space group I4/mmm (No. 139)
Asymmetric unit:
Ni1 0.000 0.000 0.000 [2 per cell]
Ni2 0.000 0.500 0.096 [8 per cell]
Ni3 0.000 0.500 0.250 [4 per cell]
As1 0.000 0.000 0.172 [4 per cell]
Pt1 0.000 0.000 0.500 [2 per cell]

Summary:
energy relative to the elements = -0.138 eV per atom
total magnetization = 0.43 μB per cell
calculated volume = 13.0 Å³ per atom

=====

Entry 4:
DFT (PBE) results for a relaxed structure of NiAsPt2.

Cell: 5.579 5.579 10.871 Å, 90.00 90.00 90.00°
Space group I-42d (No. 122)
Asymmetric unit:
Ni1 0.000 0.000 0.000 [4 per cell]
As1 0.000 0.000 0.500 [4 per cell]
Pt1 0.248 0.250 0.625 [8 per cell]

Summary:
energy relative to the elements = 0.318 eV per atom
total magnetization = 2.31 μB per cell
calculated volume = 21.1 Å³ per atom

=====

Entry 5:
DFT (PBE) results for a relaxed structure of Ni2As2Pt.

Cell: 7.001 7.001 2.928 Å, 90.00 90.00 90.00°
Space group P4/mbm (No. 127)
Asymmetric unit:
Ni1 0.133 0.367 0.000 [4 per cell]
As1 0.162 0.662 0.500 [4 per cell]
Pt1 0.000 0.000 0.500 [2 per cell]

Summary:
energy relative to the elements = -0.061 eV per atom
energy above the most stable polymorph in this dataset = 0 meV per atom
total magnetization = 0.00 μB per cell
calculated volume = 14.3 Å³ per atom

=====

Entry 6:
DFT (PBE) results for a relaxed structure of Ni5AsPt4.

Cell: 11.533 3.628 7.405 Å, 90.00 117.55 90.00°
Space group C2/m (No. 12)
Asymmetric unit:
Ni1 0.000 0.000 0.000 [2 per cell]
Ni2 0.074 0.500 0.264 [4 per cell]
Ni3 0.085 0.000 0.722 [4 per cell]
As1 0.000 0.500 0.500 [2 per cell]
Pt1 0.167 0.500 0.013 [4 per cell]
Pt2 0.250 0.000 0.345 [4 per cell]

Summary:
energy relative to the elements = -0.062 eV per atom
total magnetization = 3.61 μB per cell
calculated volume = 13.7 Å³ per atom

=====

Entry 7:
DFT (PBE) results for a relaxed structure of NiAs2Pt.

Cell: 3.342 4.347 8.550 Å, 90.00 90.00 90.00°
Space group Imm2 (No. 44)
Asymmetric unit:
Ni1 0.000 0.000 0.000 [2 per cell]
As1 0.000 0.000 0.488 [2 per cell]
As2 0.000 0.500 0.715 [2 per cell]
Pt1 0.000 0.500 0.235 [2 per cell]

Summary:
energy relative to the elements = 0.035 eV per atom
energy above the most stable polymorph in this dataset = 312 meV per atom
total magnetization = 0.00 μB per cell
calculated volume = 15.5 Å³ per atom

=====

Entry 8:
DFT (PBE) results for a relaxed structure of NiAs2Pt.

Cell: 3.098 3.098 7.251 Å, 90.00 90.00 90.00°
Space group P4mm (No. 99)
Asymmetric unit:
Ni1 0.000 0.000 0.000 [1 per cell]
As1 0.000 0.000 0.432 [1 per cell]
As2 0.500 0.500 0.850 [1 per cell]
Pt1 0.500 0.500 0.241 [1 per cell]

Summary:
energy relative to the elements = -0.100 eV per atom
energy above the most stable polymorph in this dataset = 177 meV per atom
total magnetization = 0.00 μB per cell
calculated volume = 17.4 Å³ per atom

=====

Entry 9:
DFT (PBE) results for a relaxed structure of NiAs2Pt.

Cell: 3.092 3.144 6.322 Å, 90.00 90.44 90.00°
Space group P2/m (No. 10)
Asymmetric unit:
Ni1 0.000 0.000 0.000 [1 per cell]
As1 0.500 0.500 0.232 [2 per cell]
Pt1 0.000 0.000 0.500 [1 per cell]

Summary:
energy relative to the elements = 0.001 eV per atom
energy above the most stable polymorph in this dataset = 278 meV per atom
total magnetization = 0.00 μB per cell
calculated volume = 15.4 Å³ per atom

=====

Entry 10:
DFT (PBE) results for a relaxed structure of NiAsPt2.

Cell: 3.524 4.046 8.404 Å, 90.00 90.00 90.00°
Space group Immm (No. 71)
Asymmetric unit:
Ni1 0.000 0.000 0.000 [2 per cell]
As1 0.000 0.000 0.500 [2 per cell]
Pt1 0.000 0.500 0.220 [4 per cell]

Summary:
energy relative to the elements = -0.078 eV per atom
total magnetization = 0.00 μB per cell
calculated volume = 15.0 Å³ per atom

=====

Entry 11:
DFT (PBE) results for a relaxed structure of NiAsPt.

Cell: 3.9858 3.9858 3.1953 Å, 90.00 90.00 120.00°
Space group P3m1 (No. 156)
Asymmetric unit:
Ni1 0.0000 0.0000 0.0000 [1 per cell]
As1 0.3333 0.6667 0.8920 [1 per cell]
Pt1 0.6667 0.3333 0.4862 [1 per cell]

Summary:
energy relative to the elements = -0.122 eV per atom
energy above the most stable polymorph in this dataset = 20 meV per atom
total magnetization = 0.00 μB per cell
calculated volume = 14.7 Å³ per atom

=====

Entry 12:
DFT (PBE) results for a relaxed structure of Ni5AsPt6.

Cell: 3.933 7.212 11.693 Å, 90.00 90.00 90.00°
Space group Immm (No. 71)
Asymmetric unit:
Ni1 0.000 0.000 0.000 [2 per cell]
Ni2 0.000 0.000 0.322 [4 per cell]
Ni3 0.000 0.500 0.337 [4 per cell]
As1 0.000 0.500 0.000 [2 per cell]
Pt1 0.000 0.248 0.500 [4 per cell]
Pt2 0.000 0.254 0.167 [8 per cell]

Summary:
energy relative to the elements = -0.098 eV per atom
total magnetization = 9.24 μB per cell
calculated volume = 13.8 Å³ per atom